Here is a crystal of BaSr2Cd relaxed with PBEsol from Alexandria. Energies are from meta-GGA SCAN.

Space-group type: P4mm (99)
Energy of formation from the pure elements (eV per atom): -0.20

Cell lengths 4.1259, 4.1259, 10.2377 Å; angles 90.00, 90.00, 90.00 degrees
Sites, in units of the cell vectors:
Sr (0.0000, 0.0000, 0.9391)
Sr (0.5000, 0.5000, 0.2384)
Ba (0.0000, 0.0000, 0.5602)
Cd (0.5000, 0.5000, 0.7624)

***

Here is a crystal of BaSr2Cd relaxed with PBEsol from Alexandria. Energies are from meta-GGA SCAN.

Space-group type: F-43m (216)
Energy of formation from the pure elements (eV per atom): -0.04

Cell lengths 6.1267, 6.1267, 6.1267 Å; angles 60.00, 60.00, 60.00 degrees
Sites, in units of the cell vectors:
Ba (0.5000, 0.5000, 0.5000)
Cd (0.2500, 0.2500, 0.2500)
Sr (0.0000, 0.0000, 0.0000)
Sr (0.7500, 0.7500, 0.7500)

***

Here is a crystal of BaSr2Cd relaxed with PBEsol from Alexandria. Energies are from meta-GGA SCAN.

Space-group type: Imm2 (44)
Energy of formation from the pure elements (eV per atom): -0.12

Cell lengths 4.2321, 6.2185, 7.5019 Å; angles 114.49, 106.38, 90.00 degrees
Sites, in units of the cell vectors:
Sr (0.9534, 0.9534, 0.9068)
Sr (0.7477, 0.2477, 0.4955)
Ba (0.5444, 0.5444, 0.0887)
Cd (0.2545, 0.7545, 0.5090)

***

Here is a crystal of BaSrCdTc2 relaxed with PBEsol from Alexandria. Energies are from meta-GGA SCAN.

Space-group type: P4/mmm (123)
Energy of formation from the pure elements (eV per atom): 1.41

Cell lengths 5.1834, 5.1834, 5.7411 Å; angles 90.00, 90.00, 90.00 degrees
Sites, in units of the cell vectors:
Tc (0.0000, 0.5000, 0.0000)
Tc (0.5000, 0.0000, 0.0000)
Sr (0.5000, 0.5000, 0.5000)
Ba (0.0000, 0.0000, 0.5000)
Cd (0.0000, 0.0000, 0.0000)

***

Here is a crystal of BaTa2Cd relaxed with PBEsol from Alexandria. Energies are from meta-GGA SCAN.

E above lowest polymorph (meV per atom): 173
Space-group type: Cm (8)
Energy of formation from the pure elements (eV per atom): 0.72

Cell lengths 3.0098, 4.9758, 7.1802 Å; angles 95.00, 90.00, 107.60 degrees
Sites, in units of the cell vectors:
Cd (0.7339, 0.4677, 0.1929)
Ba (0.4887, 0.9774, 0.5042)
Ta (0.0074, 0.0149, 0.9516)
Ta (0.2700, 0.5400, 0.8513)

***

Here is a crystal of BaTa2Cd relaxed with PBEsol from Alexandria. Energies are from meta-GGA SCAN.

E above lowest polymorph (meV per atom): 685
Space-group type: P4/mmm (123)
Energy of formation from the pure elements (eV per atom): 1.23

Cell lengths 4.3527, 4.3527, 4.7817 Å; angles 90.00, 90.00, 90.00 degrees
Sites, in units of the cell vectors:
Cd (0.0000, 0.0000, 0.5000)
Ba (0.5000, 0.5000, 0.5000)
Ta (0.0000, 0.5000, 0.0000)
Ta (0.5000, 0.0000, 0.0000)

***

Here is a crystal of BaTa2Cd relaxed with PBEsol from Alexandria. Energies are from meta-GGA SCAN.

E above lowest polymorph (meV per atom): 0
Space-group type: Cmm2 (35)
Energy of formation from the pure elements (eV per atom): 0.54

Cell lengths 3.0180, 3.0180, 10.4137 Å; angles 90.00, 90.00, 106.67 degrees
Sites, in units of the cell vectors:
Cd (0.5000, 0.5000, 0.2137)
Ba (0.0000, 0.0000, 0.5019)
Ta (0.0000, 0.0000, 0.9895)
Ta (0.5000, 0.5000, 0.7949)

***

Here is a crystal of BaTa2Cd relaxed with PBEsol from Alexandria. Energies are from meta-GGA SCAN.

E above lowest polymorph (meV per atom): 644
Space-group type: Cmmm (65)
Energy of formation from the pure elements (eV per atom): 1.19

Cell lengths 2.8701, 6.0093, 6.0093 Å; angles 119.15, 90.00, 90.00 degrees
Sites, in units of the cell vectors:
Cd (0.5000, 0.5000, 0.5000)
Ba (0.5000, 0.0000, 0.0000)
Ta (0.0000, 0.5000, 0.0000)
Ta (0.0000, 0.0000, 0.5000)

***

Here is a crystal of BaTa2Cd relaxed with PBEsol from Alexandria. Energies are from meta-GGA SCAN.

E above lowest polymorph (meV per atom): 314
Space-group type: P2/m (10)
Energy of formation from the pure elements (eV per atom): 0.86

Cell lengths 2.9847, 5.1667, 6.4917 Å; angles 90.00, 96.63, 90.00 degrees
Sites, in units of the cell vectors:
Cd (0.0000, 0.5000, 0.5000)
Ba (0.5000, 0.5000, 0.0000)
Ta (0.7893, 0.0000, 0.6695)
Ta (0.2107, 0.0000, 0.3305)

***

Here is a crystal of BaCd2Tc relaxed with PBEsol from Alexandria. Energies are from meta-GGA SCAN.

E above lowest polymorph (meV per atom): 0
Space-group type: P4mm (99)
Energy of formation from the pure elements (eV per atom): 0.49

Cell lengths 3.5812, 3.5812, 7.6547 Å; angles 90.00, 90.00, 90.00 degrees
Sites, in units of the cell vectors:
Ba (0.5000, 0.5000, 0.7226)
Cd (0.0000, 0.0000, 0.0632)
Cd (0.5000, 0.5000, 0.2859)
Tc (0.0000, 0.0000, 0.4283)

***

Here is a crystal of BaCd2Tc relaxed with PBEsol from Alexandria. Energies are from meta-GGA SCAN.

E above lowest polymorph (meV per atom): 104
Space-group type: Fm-3m (225)
Energy of formation from the pure elements (eV per atom): 0.59

Cell lengths 5.1596, 5.1596, 5.1596 Å; angles 60.00, 60.00, 60.00 degrees
Sites, in units of the cell vectors:
Ba (0.0000, 0.0000, 0.0000)
Cd (0.2500, 0.2500, 0.2500)
Cd (0.7500, 0.7500, 0.7500)
Tc (0.5000, 0.5000, 0.5000)

***

Here is a crystal of BaCd2Tc relaxed with PBEsol from Alexandria. Energies are from meta-GGA SCAN.

E above lowest polymorph (meV per atom): 93
Space-group type: I4/mmm (139)
Energy of formation from the pure elements (eV per atom): 0.58

Cell lengths 4.4769, 4.4769, 5.5998 Å; angles 113.56, 113.56, 90.00 degrees
Sites, in units of the cell vectors:
Ba (0.0000, 0.0000, 0.0000)
Cd (0.7500, 0.2500, 0.5000)
Cd (0.2500, 0.7500, 0.5000)
Tc (0.5000, 0.5000, 0.0000)